# LaSc2Be (PBE, relaxed)
# - total magnetization (μB per atom) = 0.000
# - calculated total energy (eV per cell) = -41.3
# - D(E_F) (states/eV per atom) = 0.93
# - energy of formation (eV/atom) = 0.16
data_LaSc2Be
_cell_length_a 3.454
_cell_length_b 4.905
_cell_length_c 10.935
_cell_angle_alpha 90.00
_cell_angle_beta 90.00
_cell_angle_gamma 90.00
_symmetry_space_group_name_H-M 'I m m 2'
_symmetry_Int_Tables_number 44
loop_
_symmetry_equiv_pos_as_xyz
'x,y,z'
'-x,-y,z'
'-x,y,z'
'x,-y,z'
'x+1/2,y+1/2,z+1/2'
'-x+1/2,-y+1/2,z+1/2'
'-x+1/2,y+1/2,z+1/2'
'x+1/2,-y+1/2,z+1/2'
loop_
_atom_site_label
_atom_site_type_symbol
_atom_site_fract_x
_atom_site_fract_y
_atom_site_fract_z
_atom_site_occupancy
La1 La 0.000 0.000 0.000 1
Sc1 Sc 0.000 0.000 0.588 1
Sc2 Sc 0.000 0.500 0.790 1
Be1 Be 0.000 0.500 0.267 1